Compound: GdMgZn
Source: OQMD
Functional: PBE
Structure: optimized geometry

Its total energy is -2.6442 eV/atom.

The space group is P1 (No. 1) and the conventional cell measures 6.051, 6.203 and 8.236 Å, with angles of 90.03, 90.02 and 115.72 degrees. The inequivalent atoms are Gd at (0.000, 0.000, 0.000), Gd at (0.026, 0.688, 0.368), Gd at (0.373, 0.766, 0.777), Gd at (0.411, 0.256, 0.501), Mg at (0.443, 0.533, 0.151), Mg at (0.506, 0.050, 0.152), Mg at (0.899, 0.232, 0.662), Mg at (0.922, 0.463, 0.012), Zn at (0.483, 0.319, 0.854), Zn at (0.583, 0.824, 0.440), Zn at (0.836, 0.699, 0.696) and Zn at (0.962, 0.192, 0.319).